# ZrCdCo2

ZrCdCo2 after structural relaxation (PBE, Alexandria via LeMat-Bulk).

Structure (extended XYZ):
```
4
Lattice="5.119 0.006 0.000 2.353 4.547 0.000 -3.736 -2.276 2.659" Properties=species:S:1:pos:R:3 pbc="T T T"
Cd 2.560 0.003 1.329
Co 0.000 0.000 0.000
Co 1.176 2.273 1.329
Zr 3.736 2.276 0.000
```

Summary:
Electronic total energy in eV per cell: -23.44


# ZrCd2Co2

ZrCd2Co2 after structural relaxation (PBE, Alexandria via LeMat-Bulk).

Structure (extended XYZ):
```
10
Lattice="6.464 0.000 0.000 0.000 6.464 0.000 0.000 0.000 4.114" Properties=species:S:1:pos:R:3 pbc="T T T"
Co 2.429 5.661 0.000
Co 5.661 4.035 0.000
Co 4.035 0.803 0.000
Co 0.803 2.429 0.000
Zr 0.000 0.000 0.000
Zr 3.232 3.232 0.000
Cd 1.106 4.338 2.057
Cd 4.338 5.359 2.057
Cd 5.359 2.127 2.057
Cd 2.127 1.106 2.057
```

Summary:
Electronic total energy in eV per cell: -48.05


# ZrCdCo2

ZrCdCo2 after structural relaxation (PBE, Alexandria via LeMat-Bulk).

Structure (extended XYZ):
```
4
Lattice="-0.019 1.035 -5.032 -1.859 -1.303 -4.608 -3.544 2.630 -0.878" Properties=species:S:1:pos:R:3 pbc="T T T"
Cd -4.203 1.905 -7.745
Co -5.316 2.320 -10.288
Co -1.452 0.613 -2.924
Zr -2.584 1.067 -5.337
```

Summary:
Electronic total energy in eV per cell: -23.44


# Zr2CdCo2

Zr2CdCo2 after structural relaxation (PBE, Alexandria via LeMat-Bulk).

Structure (extended XYZ):
```
5
Lattice="-0.882 -3.540 0.210 2.250 -0.726 -2.787 6.008 -3.188 3.285" Properties=species:S:1:pos:R:3 pbc="T T T"
Co 2.905 -4.431 1.104
Co 4.471 -3.023 -0.395
Zr 2.038 -2.401 -0.125
Zr 5.338 -5.053 0.834
Cd 0.000 0.000 0.000
```

Summary:
Electronic total energy in eV per cell: -31.80


In meV/atom, the energy of formation from the pure elements values for the records above are, in order, 60 113 58 84.
In μB/f.u., the total magnetic moment values for the records above are, in order, 0.6 0.0 1.5 0.0.